[1]
Below is BaRe2Se after structural relaxation, with properties calculated at the PBE-GGA level.

Calculated values
- E_form (uncorrected) (eV/atom) = 1.2237
- calculated volume (Å³/f.u.) = 88
- crystal system = tetragonal

The structure in POSCAR format:
```
BaRe2Se
1.0
4.0438 0.0000 0.0000
0.0000 4.0438 0.0000
0.0000 0.0000 5.4038
Ba Re Se
1 2 1
direct
0.0000 0.0000 0.0000
0.0000 0.5000 0.5000
0.5000 0.0000 0.5000
0.5000 0.5000 0.0000
```

***

[2]
Below is BaRe2Se after structural relaxation, with properties calculated at the PBE-GGA level.

Calculated values
- E_form (uncorrected) (eV/atom) = 0.0257
- calculated volume (Å³/f.u.) = 97
- crystal system = trigonal

The structure in POSCAR format:
```
BaRe2Se
1.0
2.1350 1.2326 6.1734
-2.1350 1.2326 6.1734
0.0000 -2.4652 6.1734
Ba Re Se
1 2 1
direct
0.0000 0.0000 0.0000
0.1996 0.1996 0.1996
0.5099 0.5099 0.5099
0.7849 0.7849 0.7849
```

***

[3]
Below is BaRe2Se after structural relaxation, with properties calculated at the PBE-GGA level.

Calculated values
- E_form (uncorrected) (eV/atom) = 0.3661
- calculated volume (Å³/f.u.) = 85
- crystal system = tetragonal

The structure in POSCAR format:
```
BaRe2Se
1.0
3.2539 0.0000 0.0000
0.0000 3.2539 0.0000
0.0000 0.0000 8.0724
Ba Re Se
1 2 1
direct
0.0000 0.0000 0.0000
0.0000 0.0000 0.4741
0.5000 0.5000 0.3166
0.5000 0.5000 0.6810
```

***

[4]
Below is Ba2ReSe after structural relaxation, with properties calculated at the PBE-GGA level.

Calculated values
- E_form (uncorrected) (eV/atom) = 0.3523
- calculated volume (Å³/f.u.) = 130
- crystal system = tetragonal

The structure in POSCAR format:
```
Ba2ReSe
1.0
-2.3333 2.3333 5.9558
2.3333 -2.3333 5.9558
2.3333 2.3333 -5.9558
Ba Re Se
2 1 1
direct
0.0000 0.0000 0.0000
0.7500 0.2500 0.5000
0.2500 0.7500 0.5000
0.5000 0.5000 0.0000
```